The following is a GGA-PBE calculation of crystalline LuInAgIr at its relaxed geometry, from Alexandria.

Summary:
VASP energy: -5.17 eV/atom
Total magnetization: 0.0 μB/f.u.

Cell lengths 6.7518, 6.7518, 6.7518 Å; angles 90.00, 90.00, 90.00 degrees
Space group F-43m (No. 216)
Inequivalent atoms, fractional coordinates:
Lu 0.0000 0.0000 0.0000
In 0.0000 0.0000 0.5000
Ag 0.2500 0.2500 0.7500
Ir 0.2500 0.2500 0.2500